Ce3DyIn12 | PBE-GGA | optimized geometry

Calculated values
Volume: 414.1 Å³/cell
VASP energy: -3.865 eV per atom
E_form: -6.583 eV per formula unit
Size of the total moment: 2.3 Bohr magnetons per cell
Calculated density: 7.86 g/cm3

Cell: 4.689 4.689 18.835 Å, 90.00 90.00 90.00°
Fractional positions:
Ce  0.000  0.000  0.000
Ce  0.000  0.000  0.252
Ce  0.000  0.000  0.748
Dy  0.000  0.000  0.500
In  0.000  0.500  0.126
In  0.000  0.500  0.377
In  0.000  0.500  0.623
In  0.000  0.500  0.874
In  0.500  0.000  0.126
In  0.500  0.000  0.377
In  0.500  0.000  0.623
In  0.500  0.000  0.874
In  0.500  0.500  0.000
In  0.500  0.500  0.251
In  0.500  0.500  0.500
In  0.500  0.500  0.749